Density functional theory data (GGA-PBE) for crystalline KInPb2 at its relaxed geometry.

a b c (Å): 5.7118 5.7118 5.7118
angles (deg): 120.69 120.69 88.81
Element x y z (fractional)
In: 0.5000 0.5000 0.0000
K: 0.7500 0.2500 0.5000
Pb: 0.0000 0.0000 0.0000
Pb: 0.2500 0.7500 0.5000

## Properties
Total magnetic moment in μB per formula unit: 0.000
Energy of formation from the pure elements in eV per formula unit: -0.22